Compound: NdCo3Cu4O12
Source: the Alexandria database
Functional: PBE with a Hubbard U
Structure: relaxed

```
NdCo3Cu4O12
1.0
-3.6816 3.6816 3.6816
3.6816 -3.6816 3.6816
3.6816 3.6816 -3.6816
Nd Co Cu O
1 3 4 12
Direct
0.0000 0.0000 0.0000 Nd
0.0000 0.5000 0.5000 Co
0.5000 0.0000 0.5000 Co
0.5000 0.5000 0.0000 Co
0.0000 0.0000 0.5000 Cu
0.0000 0.5000 0.0000 Cu
0.5000 0.0000 0.0000 Cu
0.5000 0.5000 0.5000 Cu
0.1391 0.8274 0.3117 O
0.1726 0.3117 0.4842 O
0.1726 0.6883 0.8609 O
0.3117 0.1391 0.8274 O
0.3117 0.4842 0.1726 O
0.4842 0.1726 0.3117 O
0.5158 0.8274 0.6883 O
0.6883 0.5158 0.8274 O
0.6883 0.8609 0.1726 O
0.8274 0.3117 0.1391 O
0.8274 0.6883 0.5158 O
0.8609 0.1726 0.6883 O
```

Summary:
Volume (Å³/cell): 200
Energy (eV per cell): -115.222
DOS(E_F) (states/eV/atom): 0.32